Entry 1:
Material: HfSiI2N
Method: DFT, PBE-GGA
State: optimized geometry

Geometry as CIF:
```
data_HfSiI2N
_space_group_name_H-M_alt 'P 1'
_space_group_IT_number 1
_space_group_name_Hall 'P 1'
_cell_length_a 5.892
_cell_length_b 3.959
_cell_length_c 5.892
_cell_angle_alpha 90.00
_cell_angle_beta 90.00
_cell_angle_gamma 90.00
loop_
_atom_site_label
_atom_site_type_symbol
_atom_site_fract_x
_atom_site_fract_y
_atom_site_fract_z
_atom_site_occupancy
I1 I 0.000 0.000 0.500 1
I2 I 0.500 0.000 0.000 1
Si1 Si 0.500 0.500 0.500 1
Hf1 Hf 0.000 0.000 0.000 1
N1 N 0.000 0.500 0.000 1
```

Properties
For the formation energy without anion corrections, the calculation gives 0.27 eV per atom. As for the density of states at the Fermi level: 2.623 states/eV/f.u. The value obtained for the total DFT energy (no corrections) is -5.089 eV/atom. The symmetry is P4/mmm.

***

Entry 2:
Material: Zn2MoOs
Method: DFT, PBE-GGA
State: optimized geometry

Geometry as CIF:
```
data_Zn2MoOs
_space_group_name_H-M_alt 'P 1'
_space_group_IT_number 1
_space_group_name_Hall 'P 1'
_cell_length_a 6.996
_cell_length_b 6.996
_cell_length_c 5.581
_cell_angle_alpha 51.19
_cell_angle_beta 51.19
_cell_angle_gamma 90.00
loop_
_atom_site_label
_atom_site_type_symbol
_atom_site_fract_x
_atom_site_fract_y
_atom_site_fract_z
_atom_site_occupancy
Mo1 Mo 0.500 0.500 0.000 1
Mo2 Mo 0.250 0.750 0.500 1
Os1 Os 0.000 0.000 0.000 1
Os2 Os 0.750 0.250 0.500 1
Zn1 Zn 0.633 0.125 0.250 1
Zn2 Zn 0.117 0.625 0.250 1
Zn3 Zn 0.375 0.367 0.750 1
Zn4 Zn 0.875 0.883 0.750 1
```

Properties
As for the density of states at the Fermi level: 3.793 states/eV/f.u. For the formation energy from the elements, the calculation gives 0.77 eV/atom. The value obtained for the total DFT energy (no corrections) is -5.382 eV/atom. The symmetry is I-42d.

***

Entry 3:
Material: Ce4IrPt2
Method: DFT, PBE-GGA
State: optimized geometry

Geometry as CIF:
```
data_Ce4IrPt2
_space_group_name_H-M_alt 'P 1'
_space_group_IT_number 1
_space_group_name_Hall 'P 1'
_cell_length_a 7.827
_cell_length_b 7.826
_cell_length_c 7.827
_cell_angle_alpha 110.32
_cell_angle_beta 110.29
_cell_angle_gamma 107.81
loop_
_atom_site_label
_atom_site_type_symbol
_atom_site_fract_x
_atom_site_fract_y
_atom_site_fract_z
_atom_site_occupancy
Ce1 Ce 0.934 0.238 0.304 1
Ce2 Ce 0.313 0.510 0.197 1
Ce3 Ce 0.937 0.634 0.696 1
Ce4 Ce 0.761 0.064 0.696 1
Ce5 Ce 0.369 0.064 0.303 1
Ce6 Ce 0.316 0.120 0.803 1
Ce7 Ce 0.488 0.684 0.803 1
Ce8 Ce 0.883 0.685 0.196 1
Ir1 Ir 0.250 0.751 0.501 1
Ir2 Ir 0.000 0.001 0.001 1
Pt1 Pt 0.626 0.375 0.749 1
Pt2 Pt 0.624 0.873 0.250 1
Pt3 Pt 0.625 0.376 0.250 1
Pt4 Pt 0.124 0.376 0.751 1
```

Properties
As for the density of states at the Fermi level: 19.338 states/eV/f.u. For the formation energy from the elements, the calculation gives -0.77 eV/atom. The value obtained for the total DFT energy (no corrections) is -7.150 eV/atom. The symmetry is Cc.